Below is a geometry-optimized Cr2FeH structure, with properties calculated at the PBE level.

The structure in POSCAR format:
```
Cr2FeH
1.0
2.533 0.000 0.000
1.267 2.194 0.000
1.267 0.731 6.663
H Fe Cr
1 1 2
direct
0.500 0.500 0.500
0.000 0.000 0.000
0.892 0.892 0.324
0.108 0.108 0.676
```

Computed properties:
V: 9.3 A^3/atom
Symmetry: No. 166
Final energy: -7.3407 eV per atom